[1]
Sm3In3Ni2 GGA-PBE optimized geometry; DFT total energy = -4.696 eV per atom; density of states at the Fermi level = 0.83 states/eV per atom; symmetry = C2/m, No. 12; formation energy = -10.5 kcal/mol of atoms; calculated volume = 188.9 Å³ per cell
1.0
4.236 0.000 -1.229
-0.273 5.013 -0.941
0.258 0.064 8.806
Sm In Ni
3 3 2
Direct
0.165 0.596 0.330 Sm
0.835 0.404 0.670 Sm
0.000 0.000 0.000 Sm
0.640 0.085 0.280 In
0.500 0.500 0.000 In
0.360 0.915 0.720 In
0.227 0.122 0.454 Ni
0.773 0.878 0.546 Ni



[2]
La2In2Mo GGA-PBE optimized geometry; DFT total energy = -4.849 eV per atom; density of states at the Fermi level = 1.01 states/eV per atom; E above lowest polymorph = 17 meV/atom; symmetry = P4/mbm, No. 127; formation energy = 8.8 kcal/mol of atoms; calculated volume = 293.2 Å³ per cell
1.0
7.353 0.000 0.000
0.000 7.353 0.000
0.000 0.000 5.423
Mo In La
2 4 4
Direct
0.000 0.000 0.000 Mo
0.500 0.500 0.000 Mo
0.152 0.652 0.500 In
0.652 0.848 0.500 In
0.848 0.348 0.500 In
0.348 0.152 0.500 In
0.334 0.834 0.000 La
0.834 0.666 0.000 La
0.666 0.166 0.000 La
0.166 0.334 0.000 La



[3]
MnZnCu GGA-PBE optimized geometry; DFT total energy = -4.647 eV per atom; density of states at the Fermi level = 0.70 states/eV per atom; symmetry = I4/mmm, No. 139; formation energy = 4.6 kcal/mol of atoms; calculated volume = 84.7 Å³ per cell
1.0
3.578 0.000 0.000
0.000 3.578 0.000
-1.789 -1.789 6.615
Zn Cu Mn
2 2 2
Direct
0.135 0.135 0.269 Zn
0.865 0.865 0.731 Zn
0.000 0.500 0.000 Cu
0.500 0.000 0.000 Cu
0.675 0.675 0.349 Mn
0.325 0.325 0.651 Mn



[4]
Mg2ReHRh GGA-PBE optimized geometry; DFT total energy = -4.120 eV per atom; density of states at the Fermi level = 0.58 states/eV per atom; symmetry = P4/mmm, No. 123; calculated volume = 117.7 Å³ per cell
1.0
-2.182 4.463 0.570
-3.911 -1.653 -2.030
-1.725 -1.415 4.475
Re Mg Rh H
1 2 1 1
Direct
0.000 0.500 0.000 Re
0.000 0.000 0.500 Mg
0.500 0.000 0.000 Mg
0.000 0.000 0.000 Rh
0.500 0.500 0.500 H



[5]
Nd2HoPaSb4 GGA-PBE optimized geometry; DFT total energy = -5.997 eV per atom; density of states at the Fermi level = 0.81 states/eV per atom; symmetry = P2/m, No. 10; formation energy (no corrections) = -0.985 eV per atom; calculated volume = 248.2 Å³ per cell
1.0
-2.575 -2.267 2.823
5.603 -5.154 0.973
0.767 5.631 5.221
Nd Ho Pa Sb
2 1 1 4
Direct
0.500 0.000 0.500 Nd
0.000 0.500 0.500 Nd
0.500 0.500 0.000 Ho
0.000 0.000 0.000 Pa
0.500 0.247 0.240 Sb
0.500 0.753 0.760 Sb
0.000 0.253 0.761 Sb
0.000 0.747 0.239 Sb



[6]
Cu2SbAs2 GGA-PBE optimized geometry; DFT total energy = -4.101 eV per atom; density of states at the Fermi level = 0.55 states/eV per atom; E above lowest polymorph = 0 meV/atom; symmetry = I4/mmm, No. 139; formation energy (no corrections) = 0.222 eV per atom; calculated volume = 91.2 Å³ per cell
1.0
-0.628 2.293 -3.190
-3.705 -1.419 -0.291
-4.058 4.676 1.679
Sb As Cu
1 2 2
Direct
0.000 0.000 0.000 Sb
0.750 0.250 0.500 As
0.250 0.750 0.500 As
0.394 0.394 0.212 Cu
0.606 0.606 0.788 Cu



[7]
Nb2InBr GGA-PBE optimized geometry; DFT total energy = -5.634 eV per atom; density of states at the Fermi level = 0.31 states/eV per atom; E above lowest polymorph = 0 meV/atom; symmetry = Fm-3m, No. 225; formation energy (no corrections) = 0.504 eV per atom; calculated volume = 77.6 Å³ per cell
1.0
0.000 3.385 3.385
3.385 0.000 3.385
3.385 3.385 0.000
Nb Br In
2 1 1
Direct
0.250 0.250 0.250 Nb
0.750 0.750 0.750 Nb
0.000 0.000 0.000 Br
0.500 0.500 0.500 In



[8]
SmIr2O6 GGA-PBE optimized geometry; DFT total energy = -7.250 eV per atom; density of states at the Fermi level = 0.37 states/eV per atom; symmetry = P-31m, No. 162; formation energy (no corrections) = -1.451 eV per atom; calculated volume = 119.9 Å³ per cell
1.0
4.949 0.000 0.000
0.000 4.581 -2.645
0.000 0.000 5.289
Sm Ir O
1 2 6
Direct
0.000 0.000 0.000 Sm
0.500 0.667 0.333 Ir
0.500 0.333 0.667 Ir
0.717 0.638 0.638 O
0.283 0.638 0.000 O
0.283 0.000 0.638 O
0.717 0.362 0.000 O
0.283 0.362 0.362 O
0.717 0.000 0.362 O



[9]
Rb2NaGa3Sn4 GGA-PBE optimized geometry; DFT total energy = -2.947 eV per atom; density of states at the Fermi level = 0.47 states/eV per atom; symmetry = P-4m2, No. 115; formation energy = -2.6 kcal/mol of atoms; calculated volume = 297.9 Å³ per cell
1.0
5.012 0.000 0.000
0.000 5.012 0.000
0.000 0.000 11.856
Rb Na Ga Sn
2 1 3 4
Direct
0.500 0.000 0.248 Rb
0.000 0.500 0.752 Rb
0.500 0.500 0.500 Na
0.000 0.000 0.500 Ga
0.500 0.000 0.872 Ga
0.000 0.500 0.128 Ga
0.500 0.500 0.000 Sn
0.000 0.000 0.000 Sn
0.500 0.000 0.639 Sn
0.000 0.500 0.361 Sn



[10]
SiTc2Te GGA-PBE optimized geometry; DFT total energy = -7.293 eV per atom; density of states at the Fermi level = 0.49 states/eV per atom; E above lowest polymorph = 36 meV/atom; symmetry = Fm-3m, No. 225; formation energy (no corrections) = 0.032 eV per atom; calculated volume = 61.5 Å³ per cell
1.0
4.188 -1.364 -0.469
2.792 0.200 3.433
1.350 -3.728 1.976
Si Te Tc
1 1 2
Direct
0.000 0.000 0.000 Si
0.500 0.500 0.500 Te
0.250 0.250 0.250 Tc
0.750 0.750 0.750 Tc



[11]
TeBr5 GGA-PBE optimized geometry; DFT total energy = -1.729 eV per atom; density of states at the Fermi level = 0.24 states/eV per atom; E above lowest polymorph = 280 meV/atom; symmetry = Amm2, No. 38; formation energy (no corrections) = 0.189 eV per atom; calculated volume = 204.3 Å³ per cell
1.0
0.618 12.507 5.042
-3.787 -11.411 -6.139
-1.764 -1.402 3.693
Te Br
1 5
Direct
0.089 0.911 0.500 Te
0.026 0.974 0.000 Br
0.308 0.692 0.000 Br
0.650 0.350 0.000 Br
0.453 0.547 0.500 Br
0.807 0.193 0.500 Br



[12]
ScMnGa2Pt GGA-PBE optimized geometry; DFT total energy = -5.436 eV per atom; density of states at the Fermi level = 1.42 states/eV per atom; symmetry = P4/mmm, No. 123; formation energy = 1.9 kcal/mol of atoms; calculated volume = 110.3 Å³ per cell
1.0
-1.798 4.233 1.067
-3.639 -0.719 -3.279
-2.649 -1.975 3.372
Sc Mn Ga Pt
1 1 2 1
Direct
0.500 0.500 0.500 Sc
0.000 0.500 0.000 Mn
0.000 0.000 0.500 Ga
0.500 0.000 0.000 Ga
0.000 0.000 0.000 Pt



[13]
RbMgSn GGA-PBE optimized geometry; DFT total energy = -2.373 eV per atom; density of states at the Fermi level = 0.22 states/eV per atom; E above lowest polymorph = 3 meV/atom; symmetry = C2/m, No. 12; formation energy = -4.3 kcal/mol of atoms; calculated volume = 513.8 Å³ per cell
1.0
-1.963 -8.918 -8.251
3.231 1.698 -2.604
6.566 -4.079 5.487
Mg Sn Rb
4 4 4
Direct
0.950 0.000 0.633 Mg
0.050 0.000 0.367 Mg
0.950 0.500 0.133 Mg
0.050 0.500 0.867 Mg
0.118 0.000 0.085 Sn
0.882 0.000 0.915 Sn
0.118 0.500 0.585 Sn
0.882 0.500 0.415 Sn
0.685 0.000 0.184 Rb
0.315 0.000 0.816 Rb
0.685 0.500 0.684 Rb
0.315 0.500 0.316 Rb



[14]
Zn2CoAs GGA-PBE optimized geometry; DFT total energy = -3.470 eV per atom; density of states at the Fermi level = 0.64 states/eV per atom; symmetry = I-4m2, No. 119; formation energy = 2.4 kcal/mol of atoms; calculated volume = 56.0 Å³ per cell
1.0
-0.325 3.732 -2.852
-3.365 -0.696 -3.218
0.034 -0.411 4.690
As Co Zn
1 1 2
Direct
0.500 0.500 0.000 As
0.750 0.250 0.500 Co
0.000 0.000 0.000 Zn
0.250 0.750 0.500 Zn



[15]
SiRhBr GGA-PBE optimized geometry; DFT total energy = -5.026 eV per atom; E above lowest polymorph = 75 meV/atom; symmetry = P3m1, No. 156; formation energy (no corrections) = -0.211 eV per atom; calculated volume = 64.1 Å³ per cell
1.0
-0.331 -2.116 -2.959
2.942 -0.305 2.144
-2.611 -3.836 3.037
Br Rh Si
1 1 1
Direct
0.000 0.000 0.064 Br
0.667 0.333 0.386 Rh
0.333 0.667 0.549 Si



[16]
ZnSnB3 GGA-PBE optimized geometry; DFT total energy = -2.879 eV per atom; density of states at the Fermi level = 0.55 states/eV per atom; E above lowest polymorph = 422 meV/atom; symmetry = Pm-3m, No. 221; formation energy = 50.3 kcal/mol of atoms; calculated volume = 93.5 Å³ per cell
1.0
4.539 0.000 0.000
0.000 4.539 0.000
0.000 0.000 4.539
Zn B Sn
1 3 1
Direct
0.500 0.500 0.500 Zn
0.000 0.500 0.000 B
0.000 0.000 0.500 B
0.500 0.000 0.000 B
0.000 0.000 0.000 Sn



[17]
LiTl4I5 GGA-PBE optimized geometry; DFT total energy = -2.659 eV per atom; density of states at the Fermi level = 0.00 states/eV per atom; E above lowest polymorph = 0 meV/atom; symmetry = R-3m, No. 166; formation energy (no corrections) = -0.746 eV per atom; calculated volume = 409.3 Å³ per cell
1.0
4.801 0.000 0.000
2.400 4.157 0.000
2.400 1.386 20.507
Li Tl I
1 4 5
Direct
0.500 0.500 0.500 Li
0.895 0.895 0.316 Tl
0.298 0.298 0.105 Tl
0.702 0.702 0.895 Tl
0.105 0.105 0.684 Tl
0.404 0.404 0.789 I
0.000 0.000 0.000 I
0.596 0.596 0.211 I
0.808 0.808 0.576 I
0.192 0.192 0.424 I



[18]
TeHPt2Pb GGA-PBE optimized geometry; DFT total energy = -3.434 eV per atom; density of states at the Fermi level = 0.85 states/eV per atom; symmetry = P4/mmm, No. 123; calculated volume = 151.3 Å³ per cell
1.0
4.967 0.000 0.000
0.000 6.135 0.000
0.000 0.000 4.967
Pb H Te Pt
1 1 1 2
Direct
0.000 0.500 0.000 Pb
0.500 0.500 0.500 H
0.000 0.000 0.000 Te
0.000 0.000 0.500 Pt
0.500 0.000 0.000 Pt



[19]
Cs2LiCuAg GGA-PBE optimized geometry; DFT total energy = -1.711 eV per atom; density of states at the Fermi level = 0.57 states/eV per atom; symmetry = P4/mmm, No. 123; formation energy = 9.3 kcal/mol of atoms; calculated volume = 236.3 Å³ per cell
1.0
-0.492 0.291 -6.878
-4.488 -2.103 0.232
-2.901 6.244 0.472
Cs Cu Ag Li
2 1 1 1
Direct
0.000 0.000 0.500 Cs
0.500 0.000 0.000 Cs
0.500 0.500 0.500 Cu
0.000 0.500 0.000 Ag
0.000 0.000 0.000 Li



[20]
NaTeOs2O GGA-PBE optimized geometry; DFT total energy = -4.967 eV per atom; density of states at the Fermi level = 0.46 states/eV per atom; symmetry = P4/mmm, No. 123; formation energy (no corrections) = 1.409 eV per atom; calculated volume = 105.7 Å³ per cell
1.0
4.961 0.000 0.000
0.000 4.296 0.000
0.000 0.000 4.961
Na Te Os O
1 1 2 1
Direct
0.500 0.500 0.500 Na
0.000 0.000 0.000 Te
0.000 0.000 0.500 Os
0.500 0.000 0.000 Os
0.000 0.500 0.000 O